No. 1
Entry from Alexandria via LeMat-Bulk: a geometry-optimized TaCr2GeH structure (PBE).

Output
Space group: P4/mmm, No. 123
DFT total energy, eV per formula unit: -39.0
Crystal system: tetragonal

a = 3.874 Å, b = 3.874 Å, c = 3.901 Å
α = 90.00°, β = 90.00°, γ = 90.00°
Site moments in Bohr magnetons follow the coordinates.
Atoms (fractional coordinates):
Cr 0.000 0.500 0.000  1.04
Cr 0.500 0.000 0.000  1.04
Ge 0.500 0.500 0.500  -0.04
H 0.000 0.000 0.000  0.00
Ta 0.000 0.000 0.500  -0.20


No. 2
Entry from Alexandria via LeMat-Bulk: a geometry-optimized BaV2B structure (PBE).

Output
Space group: Fd-3m, No. 227
Formation energy, meV per atom: 803
Crystal system: cubic

a = 6.532 Å, b = 6.532 Å, c = 6.532 Å
α = 60.00°, β = 60.00°, γ = 90.00°
Site moments in Bohr magnetons follow the coordinates.
Atoms (fractional coordinates):
B 0.500 0.500 0.000  -0.10
B 0.250 0.750 0.500  -0.10
Ba 0.000 0.000 0.000  0.12
Ba 0.750 0.250 0.500  0.12
V 0.375 0.125 0.250  1.74
V 0.375 0.625 0.250  1.74
V 0.375 0.625 0.750  1.74
V 0.875 0.625 0.750  1.74


No. 3
Entry from Alexandria via LeMat-Bulk: a geometry-optimized SrTbHg4 structure (PBE).

Output
Space group: P-1, No. 2
Distance to the lowest polymorph of the same formula, eV per atom: 0.000
Formation energy, meV per atom: -401
Crystal system: triclinic

a = 3.950 Å, b = 5.743 Å, c = 8.248 Å
α = 101.00°, β = 76.14°, γ = 70.04°
Atoms (fractional coordinates):
Sr 0.501 0.497 0.998
Tb 0.001 0.997 0.498
Hg 0.646 0.018 0.184
Hg 0.356 0.977 0.812
Hg 0.181 0.486 0.649
Hg 0.822 0.508 0.347


No. 4
Entry from Alexandria via LeMat-Bulk: a geometry-optimized ZrTl2Pt structure (PBE).

Output
Space group: R3m, No. 160
Distance to the lowest polymorph of the same formula, eV per atom: 0.088
Formation energy, meV per atom: -192
Crystal system: trigonal

a = 9.248 Å, b = 9.248 Å, c = 9.248 Å
α = 22.51°, β = 22.51°, γ = 22.51°
Atoms (fractional coordinates):
Pt 0.761 0.761 0.761
Tl 0.009 0.009 0.009
Tl 0.245 0.245 0.245
Zr 0.485 0.485 0.485


No. 5
Entry from Alexandria via LeMat-Bulk: a geometry-optimized HfMnVSn structure (PBE).

Output
Space group: F-43m, No. 216
Formation energy, meV per atom: -41
Crystal system: cubic

a = 4.541 Å, b = 4.541 Å, c = 4.541 Å
α = 60.00°, β = 60.00°, γ = 60.00°
Site moments in Bohr magnetons follow the coordinates.
Atoms (fractional coordinates):
Mn 0.500 0.500 0.500  -0.62
Hf 0.750 0.750 0.750  0.23
Sn 0.250 0.250 0.250  -0.01
V 0.000 0.000 0.000  2.08


No. 6
Entry from Alexandria via LeMat-Bulk: a geometry-optimized AcPmHo4Er2 structure (PBE).

Output
Space group: Imma, No. 74
Formation energy, meV per atom: 450
Crystal system: orthorhombic

a = 9.589 Å, b = 9.589 Å, c = 11.858 Å
α = 128.20°, β = 128.19°, γ = 88.56°
Site moments in Bohr magnetons follow the coordinates.
Atoms (fractional coordinates):
Ac 0.500 0.500 0.500  0.10
Ac 0.000 0.000 0.000  0.10
Pm 0.000 0.500 0.000  0.24
Pm 0.000 0.500 0.500  0.24
Ho 0.263 0.740 0.001  0.22
Ho 0.760 0.237 0.499  0.22
Ho 0.240 0.763 0.501  0.22
Ho 0.737 0.260 0.999  0.22
Ho 0.746 0.753 0.014  0.21
Ho 0.747 0.754 0.486  0.21
Ho 0.253 0.246 0.514  0.21
Ho 0.254 0.247 0.986  0.21
Er 0.500 0.000 0.000  0.22
Er 0.500 0.000 0.500  0.22
Er 0.000 0.000 0.500  0.19
Er 0.500 0.500 0.000  0.19


No. 7
Entry from Alexandria via LeMat-Bulk: a geometry-optimized LiTcF3 structure (PBE).

Output
Space group: Pm-3m, No. 221
Distance to the lowest polymorph of the same formula, eV per atom: 0.212
Uncorrected formation energy, meV/atom: -1438.6
Crystal system: cubic

a = 4.204 Å, b = 4.204 Å, c = 4.204 Å
α = 90.00°, β = 90.00°, γ = 90.00°
Site moments in Bohr magnetons follow the coordinates.
Atoms (fractional coordinates):
Li 0.500 0.500 0.500  0.00
Tc 0.000 0.000 0.000  0.92
F 0.000 0.500 0.000  0.04
F 0.000 0.000 0.500  0.02
F 0.500 0.000 0.000  0.06


No. 8
Entry from Alexandria via LeMat-Bulk: a geometry-optimized BeInRh2 structure (PBE).

Output
Space group: I-4m2, No. 119
Formation energy, meV per atom: -86
Crystal system: tetragonal

a = 4.861 Å, b = 4.861 Å, c = 4.861 Å
α = 133.98°, β = 133.98°, γ = 67.12°
Atoms (fractional coordinates):
Be 0.500 0.500 0.000
Rh 0.000 0.000 0.000
Rh 0.250 0.750 0.500
In 0.750 0.250 0.500


Number 1: calculated volume 59 Å³/cell. Number 2: calculated volume 197 Å³/cell. Number 3: calculated volume 163 Å³/cell. Number 4: calculated volume 102 Å³/cell. Number 5: calculated volume 66 Å³/cell. Number 6: calculated volume 549 Å³/cell. Number 7: calculated volume 74 Å³/cell. Number 8: calculated volume 59 Å³/cell.